No. 1
Ac5TmSn6: optimized geometry, PBE-GGA.

Summary:
DFT formation energy: -591 meV/atom
Space group: C2/m (12)

a = 10.0111 Å, b = 10.0111 Å, c = 7.3338 Å
α = 111.45°, β = 111.45°, γ = 35.46°
Last column: nearest neighbours and their distance in Å.
Element x y z (fractional)
Ac 0.0000 0.0000 0.0000  8 Sn 3.49-3.75, 2 Tm 3.67
Ac 0.3157 0.3157 0.3156  8 Sn 3.45-3.58, 2 Ac 3.71
Ac 0.3462 0.3462 0.8460  8 Sn 3.47-3.69, 2 Ac 3.71
Ac 0.6538 0.6538 0.1540  8 Sn 3.47-3.69, 2 Ac 3.71
Ac 0.6843 0.6843 0.6844  8 Sn 3.45-3.58, 2 Ac 3.71
Tm 0.0000 0.0000 0.5000  8 Sn 3.23-3.39
Sn 0.1595 0.1595 0.4428  1 Sn 3.18, 1 Tm 3.23, 4 Ac 3.45-3.49
Sn 0.1595 0.1595 0.8761  1 Sn 3.18, 1 Tm 3.23, 4 Ac 3.45-3.49
Sn 0.4998 0.4998 0.2969  1 Sn 2.98
Sn 0.5002 0.5002 0.7031  1 Sn 2.98
Sn 0.8405 0.8405 0.1239  1 Sn 3.18, 1 Tm 3.23, 4 Ac 3.45-3.49
Sn 0.8405 0.8405 0.5572  1 Sn 3.18, 1 Tm 3.23, 4 Ac 3.45-3.49



No. 2
Ac2TmSn3: optimized geometry, PBE-GGA.

Summary:
DFT formation energy: -533 meV/atom
Space group: C2/c (15)

a = 7.3256 Å, b = 7.3256 Å, c = 10.6314 Å
α = 111.27°, β = 111.27°, γ = 53.58°
Last column: nearest neighbours and their distance in Å.
Element x y z (fractional)
Ac 0.1782 0.1799 0.0894  6 Sn 3.35-3.50
Ac 0.1799 0.1782 0.5894  6 Sn 3.35-3.50
Ac 0.8201 0.8218 0.4106  6 Sn 3.35-3.50
Ac 0.8218 0.8201 0.9106  6 Sn 3.35-3.50
Tm 0.4983 0.5017 0.7500  6 Sn 3.08-3.30
Tm 0.5017 0.4983 0.2500  6 Sn 3.08-3.30
Sn 0.0020 0.9980 0.2500  2 Tm 3.30, 4 Ac 3.41
Sn 0.3690 0.3707 0.4351  2 Tm 3.08, 1 Sn 3.11, 2 Ac 3.35
Sn 0.3707 0.3690 0.9351  2 Tm 3.08, 1 Sn 3.11, 2 Ac 3.35
Sn 0.6293 0.6310 0.0649  2 Tm 3.08, 1 Sn 3.11, 2 Ac 3.35
Sn 0.6310 0.6293 0.5649  2 Tm 3.08, 1 Sn 3.11, 2 Ac 3.35
Sn 0.9980 0.0020 0.7500  2 Tm 3.30, 4 Ac 3.41



No. 3
Ac12TmSn6: optimized geometry, PBE-GGA.

Summary:
DFT formation energy: -206 meV/atom
Space group: R-3 (148)

a = 9.6544 Å, b = 9.6544 Å, c = 9.6544 Å
α = 101.68°, β = 101.68°, γ = 101.68°
Last column: nearest neighbours and their distance in Å.
Element x y z (fractional)
Ac 0.0477 0.6727 0.9401  1 Tm 3.24, 2 Sn 3.31-3.32
Ac 0.0599 0.9523 0.3273  1 Tm 3.24, 2 Sn 3.31-3.32
Ac 0.1768 0.4087 0.5495  4 Sn 3.37-3.50
Ac 0.3273 0.0599 0.9523  1 Tm 3.24, 2 Sn 3.31-3.32
Ac 0.4087 0.5495 0.1768  4 Sn 3.37-3.50
Ac 0.4505 0.8232 0.5913  4 Sn 3.37-3.50
Ac 0.5495 0.1768 0.4087  4 Sn 3.37-3.50
Ac 0.5913 0.4505 0.8232  4 Sn 3.37-3.50
Ac 0.6727 0.9401 0.0477  1 Tm 3.24, 2 Sn 3.31-3.32
Ac 0.8232 0.5913 0.4505  4 Sn 3.37-3.50
Ac 0.9401 0.0477 0.6727  1 Tm 3.24, 2 Sn 3.31-3.32
Ac 0.9523 0.3273 0.0599  1 Tm 3.24, 2 Sn 3.31-3.32
Tm 0.0000 0.0000 0.0000  6 Ac 3.24
Sn 0.1339 0.6310 0.3172  7 Ac 3.31-3.69
Sn 0.3172 0.1339 0.6310  7 Ac 3.31-3.69
Sn 0.3690 0.6828 0.8661  7 Ac 3.31-3.69
Sn 0.6310 0.3172 0.1339  7 Ac 3.31-3.69
Sn 0.6828 0.8661 0.3690  7 Ac 3.31-3.69
Sn 0.8661 0.3690 0.6828  7 Ac 3.31-3.69



No. 4
Ac3TmSn6: optimized geometry, PBE-GGA.

Summary:
DFT formation energy: -611 meV/atom
Space group: R-3c (167)

a = 8.6871 Å, b = 8.6871 Å, c = 8.6871 Å
α = 97.27°, β = 97.27°, γ = 97.27°
Last column: nearest neighbours and their distance in Å.
Element x y z (fractional)
Ac 0.1814 0.7500 0.3186  8 Sn 3.43-3.65
Ac 0.2500 0.6814 0.8186  8 Sn 3.43-3.65
Ac 0.3186 0.1814 0.7500  8 Sn 3.43-3.65
Ac 0.6814 0.8186 0.2500  8 Sn 3.43-3.65
Ac 0.7500 0.3186 0.1814  8 Sn 3.43-3.65
Ac 0.8186 0.2500 0.6814  8 Sn 3.43-3.65
Tm 0.0000 0.0000 0.0000  6 Sn 3.14
Tm 0.5000 0.5000 0.5000  6 Sn 3.14
Sn 0.0140 0.0883 0.3634  2 Sn 2.89-3.00, 1 Tm 3.14
Sn 0.0883 0.3634 0.0140  2 Sn 2.89-3.00, 1 Tm 3.14
Sn 0.1366 0.4117 0.4860  2 Sn 2.89-3.00, 1 Tm 3.14
Sn 0.3634 0.0140 0.0883  2 Sn 2.89-3.00, 1 Tm 3.14
Sn 0.4117 0.4860 0.1366  2 Sn 2.89-3.00, 1 Tm 3.14
Sn 0.4860 0.1366 0.4117  2 Sn 2.89-3.00, 1 Tm 3.14
Sn 0.5140 0.8634 0.5883  2 Sn 2.89-3.00, 1 Tm 3.14
Sn 0.5883 0.5140 0.8634  2 Sn 2.89-3.00, 1 Tm 3.14
Sn 0.6366 0.9860 0.9117  2 Sn 2.89-3.00, 1 Tm 3.14
Sn 0.8634 0.5883 0.5140  2 Sn 2.89-3.00, 1 Tm 3.14
Sn 0.9117 0.6366 0.9860  2 Sn 2.89-3.00, 1 Tm 3.14
Sn 0.9860 0.9117 0.6366  2 Sn 2.89-3.00, 1 Tm 3.14



No. 5
Ac3Tm2Sn4: optimized geometry, PBE-GGA.

Summary:
Energy relative to the lowest polymorph listed for this composition: 0.31 eV/f.u.
DFT formation energy: -587 meV/atom
Space group: C2/m (12)

a = 6.6788 Å, b = 6.6788 Å, c = 10.2792 Å
α = 96.18°, β = 96.18°, γ = 42.24°
Last column: nearest neighbours and their distance in Å.
Element x y z (fractional)
Ac 0.0000 0.0000 0.0000  4 Sn 3.40
Ac 0.3705 0.3705 0.6079  6 Sn 3.33-3.68
Ac 0.6295 0.6295 0.3921  6 Sn 3.33-3.68
Tm 0.3216 0.3216 0.2177  5 Sn 3.06-3.15
Tm 0.6784 0.6784 0.7823  5 Sn 3.06-3.15
Sn 0.0781 0.0781 0.6295  2 Tm 3.06, 1 Sn 3.11
Sn 0.3116 0.3116 0.9161  3 Tm 3.09-3.15, 3 Ac 3.33-3.40, 2 Sn 3.43
Sn 0.6884 0.6884 0.0839  3 Tm 3.09-3.15, 3 Ac 3.33-3.40, 2 Sn 3.43
Sn 0.9219 0.9219 0.3705  2 Tm 3.06, 1 Sn 3.11



No. 6
Ac3Tm2Sn3: optimized geometry, PBE-GGA.

Summary:
Energy relative to the lowest polymorph listed for this composition: 0.00 eV/f.u.
DFT formation energy: -612 meV/atom
Space group: P6_3/mcm (193)

a = 9.5437 Å, b = 9.5437 Å, c = 6.8010 Å
α = 90.00°, β = 90.00°, γ = 120.00°
Last column: nearest neighbours and their distance in Å.
Element x y z (fractional)
Ac 0.0000 0.2478 0.2500  5 Sn 3.35-3.70
Ac 0.0000 0.7522 0.7500  5 Sn 3.35-3.70
Ac 0.2478 0.0000 0.2500  5 Sn 3.35-3.70
Ac 0.2478 0.2478 0.7500  5 Sn 3.35-3.70
Ac 0.7522 0.0000 0.7500  5 Sn 3.35-3.70
Ac 0.7522 0.7522 0.2500  5 Sn 3.35-3.70
Tm 0.3333 0.6667 0.0000  6 Sn 3.37, 2 Tm 3.40
Tm 0.3333 0.6667 0.5000  6 Sn 3.37, 2 Tm 3.40
Tm 0.6667 0.3333 0.0000  6 Sn 3.37, 2 Tm 3.40
Tm 0.6667 0.3333 0.5000  6 Sn 3.37, 2 Tm 3.40
Sn 0.0000 0.4013 0.7500  5 Ac 3.35-3.70, 4 Tm 3.37
Sn 0.0000 0.5987 0.2500  5 Ac 3.35-3.70, 4 Tm 3.37
Sn 0.4013 0.0000 0.7500  5 Ac 3.35-3.70, 4 Tm 3.37
Sn 0.4013 0.4013 0.2500  5 Ac 3.35-3.70, 4 Tm 3.37
Sn 0.5987 0.0000 0.2500  5 Ac 3.35-3.70, 4 Tm 3.37
Sn 0.5987 0.5987 0.7500  5 Ac 3.35-3.70, 4 Tm 3.37



No. 7
Ac3Tm2Sn6: optimized geometry, PBE-GGA.

Summary:
DFT formation energy: -311 meV/atom
Space group: I4/mmm (139)

a = 12.8293 Å, b = 12.8293 Å, c = 12.8293 Å
α = 154.52°, β = 154.52°, γ = 36.35°
Last column: nearest neighbours and their distance in Å.
Element x y z (fractional)
Ac 0.0000 0.0000 0.0000  8 Sn 3.58
Ac 0.1734 0.1734 0.0000  5 Sn 3.34-3.49
Ac 0.8266 0.8266 0.0000  5 Sn 3.34-3.49
Tm 0.4312 0.4312 0.0000  5 Sn 2.88-2.95
Tm 0.5688 0.5688 0.0000  5 Sn 2.88-2.95
Sn 0.0898 0.5898 0.5000  2 Tm 2.88
Sn 0.3103 0.3103 0.0000  1 Tm 2.95
Sn 0.4102 0.9102 0.5000  2 Tm 2.88
Sn 0.5898 0.0898 0.5000  2 Tm 2.88
Sn 0.6897 0.6897 0.0000  1 Tm 2.95
Sn 0.9102 0.4102 0.5000  2 Tm 2.88



No. 8
Ac2TmZn3Sn4: optimized geometry, PBE-GGA.

Summary:
DFT formation energy: -451 meV/atom
Space group: P-4m2 (115)

a = 4.6517 Å, b = 4.6517 Å, c = 12.3227 Å
α = 90.00°, β = 90.00°, γ = 90.00°
Last column: nearest neighbours and their distance in Å.
Element x y z (fractional)
Ac 0.0000 0.5000 0.2339  4 Zn 3.53, 8 Sn 3.58-3.70
Ac 0.5000 0.0000 0.7661  4 Zn 3.53, 8 Sn 3.58-3.70
Tm 0.0000 0.0000 0.5000  4 Sn 2.98, 4 Zn 3.29
Zn 0.0000 0.5000 0.8698  5 Sn 2.69-2.83
Zn 0.5000 0.0000 0.1302  5 Sn 2.69-2.83
Zn 0.5000 0.5000 0.5000  4 Sn 2.98, 4 Tm 3.29
Sn 0.0000 0.0000 0.0000  4 Zn 2.83
Sn 0.0000 0.5000 0.6517  3 Zn 2.69-2.98, 2 Tm 2.98
Sn 0.5000 0.0000 0.3483  3 Zn 2.69-2.98, 2 Tm 2.98
Sn 0.5000 0.5000 0.0000  4 Zn 2.83



No. 9
AcVSn2: optimized geometry, PBE-GGA.

Summary:
DFT formation energy: -198 meV/atom
Space group: R-3m (166)

a = 6.3961 Å, b = 6.3961 Å, c = 6.3961 Å
α = 43.26°, β = 43.26°, γ = 43.26°
Last column: nearest neighbours and their distance in Å.
Element x y z (fractional)
Ac 0.0000 0.0000 0.0000  6 Sn 3.38
V 0.5000 0.5000 0.5000  6 Sn 2.87
Sn 0.2181 0.2181 0.2181  3 V 2.87
Sn 0.7819 0.7819 0.7819  3 V 2.87



No. 10
AcVSn3: optimized geometry, PBE-GGA.

Summary:
DFT formation energy: -175 meV/atom
Space group: Pm-3m (221)

a = 5.1797 Å, b = 5.1797 Å, c = 5.1797 Å
α = 90.00°, β = 90.00°, γ = 90.00°
Last column: nearest neighbours and their distance in Å.
Element x y z (fractional)
Ac 0.0000 0.0000 0.0000  12 Sn 3.66
V 0.5000 0.5000 0.5000  6 Sn 2.59
Sn 0.0000 0.5000 0.5000  2 V 2.59
Sn 0.5000 0.0000 0.5000  2 V 2.59
Sn 0.5000 0.5000 0.0000  2 V 2.59



No. 11
Ac2YSn: optimized geometry, PBE-GGA.

Summary:
Energy relative to the lowest polymorph listed for this composition: 0.00 eV/f.u.
DFT formation energy: -323 meV/atom
Space group: P4/mmm (123)

a = 5.1610 Å, b = 5.1610 Å, c = 5.1771 Å
α = 90.00°, β = 90.00°, γ = 90.00°
Last column: nearest neighbours and their distance in Å.
Element x y z (fractional)
Ac 0.0000 0.5000 0.0000  4 Ac 3.65, 4 Sn 3.66, 4 Y 3.66
Ac 0.5000 0.0000 0.0000  4 Ac 3.65, 4 Sn 3.66, 4 Y 3.66
Y 0.0000 0.0000 0.5000  4 Sn 3.65, 8 Ac 3.66
Sn 0.5000 0.5000 0.5000  4 Y 3.65, 8 Ac 3.66



No. 12
AcYSn: optimized geometry, PBE-GGA.

Summary:
Energy relative to the lowest polymorph listed for this composition: 0.63 eV/f.u.
DFT formation energy: -381 meV/atom
Space group: I4mm (107)

a = 6.2987 Å, b = 6.2987 Å, c = 6.2987 Å
α = 141.07°, β = 141.07°, γ = 56.23°
Last column: nearest neighbours and their distance in Å.
Element x y z (fractional)
Ac 0.0000 0.0000 0.0000  1 Y 3.30, 5 Sn 3.56-3.57
Y 0.2971 0.2971 0.0000  4 Sn 3.24, 1 Ac 3.30
Sn 0.6793 0.6793 0.0000  4 Y 3.24, 5 Ac 3.56-3.57



| no. | total moment (μB/cell) |
| --- | --- |
| 1 | 0.001 |
| 2 | 0.000 |
| 3 | 1.184 |
| 4 | 0.000 |
| 5 | 0.790 |
| 6 | 0.001 |
| 7 | 0.000 |
| 8 | 0.000 |
| 9 | 2.517 |
| 10 | 0.000 |
| 11 | 0.000 |
| 12 | 0.001 |